# TlCr2C (GGA-PBE, relaxed)
data_TlCr2C
_symmetry_space_group_name_H-M 'I -4 2 d'
_symmetry_Int_Tables_number 122
_symmetry_space_group_name_Hall 'I -4 2bw'
_cell_length_a 6.341
_cell_length_b 6.341
_cell_length_c 6.255
_cell_angle_alpha 90.00
_cell_angle_beta 90.00
_cell_angle_gamma 90.00
loop_
_atom_site_label
_atom_site_type_symbol
_atom_site_fract_x
_atom_site_fract_y
_atom_site_fract_z
Tl1 Tl 0.000 0.000 0.000
Cr1 Cr 0.133 0.250 0.625
C1 C 0.000 0.000 0.500
# * D(E_F): 0.676 states/eV/atom
# * energy of formation: 0.676 eV/atom
# * E_tot: -7.033 eV per atom
# * volume: 251 Å³/cell
# * size of the total moment: 20.97 Bohr magnetons per cell